[1]
This record from Alexandria describes La7Sm2Sc2 after structural relaxation. The functional is PBE.

Results
Polymorph energy (0 for the lowest one), meV/atom: 4
Energy relative to the elements, eV per atom: 0.1276
V, Å³/atom: 34.13
Total DFT energy (no corrections), eV per formula unit: -55.189
ρ, Mg/m³: 6.029
M_tot, μB/f.u.: 0.00

abc: 8.8529 6.1904 8.8530
angles: 61.95 97.55 118.05
Positions (direct):
Sm1 0.2142 0.8454 0.7858
Sm2 0.7858 0.1546 0.2142
La1 0.9425 0.1786 0.5757
La2 0.4215 0.6393 0.5786
La3 0.5785 0.3607 0.4214
La4 0.5757 0.8214 0.9425
La5 0.0000 0.0000 0.0000
La6 0.4243 0.1786 0.0575
La7 0.0575 0.8214 0.4243
Sc1 0.2201 0.5000 0.2201
Sc2 0.7799 0.5000 0.7799

[2]
This record from Alexandria describes La12Sm6Sc after structural relaxation. The functional is PBE.

Results
Energy relative to the elements, eV per atom: 0.0274
V, Å³/atom: 35.16
Total DFT energy (no corrections), eV per formula unit: -93.256
ρ, Mg/m³: 6.498
M_tot, μB/f.u.: 0.00

abc: 9.7128 9.7128 9.7128
angles: 110.81 110.81 110.81
Positions (direct):
La1 0.6275 0.9427 0.4178
La2 0.3725 0.0573 0.5822
La3 0.0573 0.5822 0.3725
La4 0.1547 0.7396 0.1029
La5 0.4178 0.6275 0.9427
La6 0.7396 0.1029 0.1547
La7 0.5822 0.3725 0.0573
La8 0.9427 0.4178 0.6275
La9 0.1029 0.1547 0.7396
La10 0.2604 0.8971 0.8453
La11 0.8971 0.8453 0.2604
La12 0.8453 0.2604 0.8971
Sm1 0.7896 0.6866 0.5324
Sm2 0.5324 0.7896 0.6866
Sm3 0.2104 0.3134 0.4676
Sm4 0.4676 0.2104 0.3134
Sm5 0.3134 0.4676 0.2104
Sm6 0.6866 0.5324 0.7896
Sc1 0.0000 0.0000 0.0000

[3]
This record from Alexandria describes La7Sm2Sc2 after structural relaxation. The functional is PBE.

Results
Polymorph energy (0 for the lowest one), meV/atom: 0
Energy relative to the elements, eV per atom: 0.1236
V, Å³/atom: 34.68
Total DFT energy (no corrections), eV per formula unit: -55.233
ρ, Mg/m³: 5.933
M_tot, μB/f.u.: 0.00

abc: 8.3563 6.9525 6.9525
angles: 104.05 81.91 81.91
Positions (direct):
La1 0.0000 0.0000 0.0000
La2 0.4816 0.7989 0.7989
La3 0.1801 0.5102 0.0821
La4 0.8199 0.9179 0.4898
La5 0.5184 0.2011 0.2011
La6 0.8199 0.4898 0.9179
La7 0.1801 0.0821 0.5102
Sm1 0.8178 0.4225 0.4225
Sm2 0.1822 0.5775 0.5775
Sc1 0.5000 0.7102 0.2898
Sc2 0.5000 0.2898 0.7102

[4]
This record from Alexandria describes LaSm6Sc3 after structural relaxation. The functional is PBE.

Results
Energy relative to the elements, eV per atom: 0.1377
V, Å³/atom: 31.45
Total DFT energy (no corrections), eV per formula unit: -50.860
ρ, Mg/m³: 6.208
M_tot, μB/f.u.: 0.00

abc: 6.3322 11.4415 11.4415
angles: 130.64 90.00 90.00
Positions (direct):
Sm1 0.8074 0.3012 0.6988
Sm2 0.3349 0.1075 0.5420
Sm3 0.5864 0.2665 0.3773
Sm4 0.7482 0.0146 0.9854
Sm5 0.2482 0.9854 0.0146
Sm6 0.8349 0.8925 0.4580
Sm7 0.3349 0.4580 0.8925
Sm8 0.0864 0.7335 0.6227
Sm9 0.8349 0.5420 0.1075
Sm10 0.0864 0.3773 0.2665
Sm11 0.5864 0.6227 0.7335
Sm12 0.3074 0.6988 0.3012
Sc1 0.4854 0.9567 0.7007
Sc2 0.1090 0.4159 0.5841
Sc3 0.9854 0.0433 0.2993
Sc4 0.9854 0.7007 0.9567
Sc5 0.6090 0.5841 0.4159
Sc6 0.4854 0.2993 0.0433
La1 0.5072 0.8477 0.1523
La2 0.0072 0.1523 0.8477

[5]
This record from Alexandria describes La6SmSc after structural relaxation. The functional is PBE.

Results
Energy relative to the elements, eV per atom: 0.0211
V, Å³/atom: 35.25
Total DFT energy (no corrections), eV per formula unit: -40.447
ρ, Mg/m³: 6.059
M_tot, μB/f.u.: 0.00

abc: 5.9531 7.3940 7.3940
angles: 119.96 90.00 90.00
Positions (direct):
La1 0.0000 0.5825 0.9143
La2 0.5000 0.9215 0.5941
La3 0.0000 0.5821 0.4179
La4 0.5000 0.9220 0.0780
La5 0.0000 0.0857 0.4175
La6 0.5000 0.4059 0.0785
Sc1 0.0000 0.0838 0.9162
Sm1 0.5000 0.4162 0.5838

[6]
This record from Alexandria describes La4SmSc after structural relaxation. The functional is PBE.

Results
Polymorph energy (0 for the lowest one), meV/atom: 0
Energy relative to the elements, eV per atom: -0.0695
V, Å³/atom: 34.91
Total DFT energy (no corrections), eV per formula unit: -31.177
ρ, Mg/m³: 5.953
M_tot, μB/f.u.: 0.00

abc: 8.4478 8.4477 4.9086
angles: 90.11 90.11 36.72
Positions (direct):
Sm1 0.5000 0.5000 0.5000
Sc1 0.0000 0.0000 0.0000
La1 0.1614 0.1614 0.4998
La2 0.3379 0.3379 0.9958
La3 0.8386 0.8386 0.5002
La4 0.6621 0.6621 0.0042

[7]
This record from Alexandria describes La3Sm8Sc after structural relaxation. The functional is PBE.

Results
Energy relative to the elements, eV per atom: 0.5198
V, Å³/atom: 37.13
Total DFT energy (no corrections), eV per formula unit: -52.629
ρ, Mg/m³: 6.203
M_tot, μB/f.u.: 0.00

abc: 8.4674 8.4674 8.4674
angles: 94.90 117.21 117.21
Positions (direct):
Sm1 0.0000 0.6341 0.8808
Sm2 0.5255 0.7422 0.7422
Sm3 0.0000 0.8808 0.6341
Sm4 0.7533 0.1192 0.1192
Sm5 0.4745 0.2167 0.2167
Sm6 0.2467 0.3659 0.3659
Sm7 0.0000 0.2578 0.7833
Sm8 0.0000 0.7833 0.2578
La1 0.5000 0.7500 0.2500
La2 0.0000 0.5000 0.5000
La3 0.5000 0.2500 0.7500
Sc1 0.0000 0.0000 0.0000

[8]
This record from Alexandria describes La2SmSc after structural relaxation. The functional is PBE.

Results
Polymorph energy (0 for the lowest one), meV/atom: 60
Energy relative to the elements, eV per atom: 0.1019
V, Å³/atom: 33.14
Total DFT energy (no corrections), eV per formula unit: -20.498
ρ, Mg/m³: 5.927
M_tot, μB/f.u.: 0.00

abc: 5.7231 5.7231 5.7231
angles: 60.00 60.00 60.00
Positions (direct):
Sc1 0.5000 0.5000 0.5000
La1 0.7500 0.7500 0.7500
La2 0.2500 0.2500 0.2500
Sm1 0.0000 0.0000 0.0000

[9]
This record from Alexandria describes LaSm12Sc2 after structural relaxation. The functional is PBE.

Results
Energy relative to the elements, eV per atom: 0.0855
V, Å³/atom: 33.00
Total DFT energy (no corrections), eV per formula unit: -72.938
ρ, Mg/m³: 6.820
M_tot, μB/f.u.: 0.00

abc: 6.4729 6.4729 26.7949
angles: 83.48 96.52 64.50
Positions (direct):
Sm1 0.4360 0.5514 0.9276
Sm2 0.9336 0.9357 0.3327
Sm3 0.7260 0.1180 0.4469
Sm4 0.7740 0.3820 0.5531
Sm5 0.9257 0.1021 0.2049
Sm6 0.8850 0.6150 0.8640
Sm7 0.3153 0.1847 0.3476
Sm8 0.3979 0.5743 0.2049
Sm9 0.0966 0.4034 0.1288
Sm10 0.4684 0.0316 0.5580
Sm11 0.9486 0.0640 0.9276
Sm12 0.1180 0.7260 0.5531
Sm13 0.0316 0.4684 0.4420
Sm14 0.9357 0.9336 0.6673
Sm15 0.4034 0.0966 0.8712
Sm16 0.5743 0.3979 0.7951
Sm17 0.5514 0.4360 0.0724
Sm18 0.1021 0.9257 0.7951
Sm19 0.3820 0.7740 0.4469
Sm20 0.1847 0.3153 0.6524
Sm21 0.5664 0.5643 0.6673
Sm22 0.6150 0.8850 0.1360
Sm23 0.5643 0.5664 0.3327
Sm24 0.0640 0.9486 0.0724
La1 0.5130 0.9870 0.0029
La2 0.9870 0.5130 0.9971
Sc1 0.5619 0.9381 0.7496
Sc2 0.9381 0.5619 0.2504
Sc3 0.4552 0.0448 0.2425
Sc4 0.0448 0.4552 0.7575

[10]
This record from Alexandria describes La3Sm7Sc after structural relaxation. The functional is PBE.

Results
Energy relative to the elements, eV per atom: 0.1724
V, Å³/atom: 35.53
Total DFT energy (no corrections), eV per formula unit: -52.252
ρ, Mg/m³: 6.434
M_tot, μB/f.u.: 0.00

abc: 8.8160 7.1546 7.1546
angles: 120.00 90.00 90.00
Positions (direct):
Sm1 0.1241 0.1679 0.8321
Sm2 0.4467 0.8328 0.1672
Sm3 0.1241 0.6641 0.8321
Sm4 0.1241 0.1679 0.3359
Sm5 0.4467 0.8328 0.6656
Sm6 0.1217 0.6667 0.3333
Sm7 0.4467 0.3344 0.1672
Sc1 0.4413 0.3333 0.6667
La1 0.7799 0.4986 0.5014
La2 0.7799 0.4986 0.9973
La3 0.7799 0.0027 0.5014

[11]
This record from Alexandria describes La8Sm3Sc2 after structural relaxation. The functional is PBE.

Results
Energy relative to the elements, eV per atom: 0.1959
V, Å³/atom: 35.19
Total DFT energy (no corrections), eV per formula unit: -63.694
ρ, Mg/m³: 5.997
M_tot, μB/f.u.: 0.00

abc: 5.8442 7.8091 10.7587
angles: 111.28 90.01 90.00
Positions (direct):
La1 0.5000 0.8120 0.2224
La2 0.9999 0.6812 0.3625
La3 0.5000 0.1880 0.7776
La4 0.5000 0.5897 0.7776
La5 0.0001 0.3188 0.6375
La6 0.9998 0.8672 0.7344
La7 0.0002 0.1328 0.2656
La8 0.5000 0.4103 0.2224
Sc1 0.5001 0.2397 0.4794
Sc2 0.4999 0.7603 0.5206
Sm1 0.0000 0.2860 0.0000
Sm2 0.0000 0.7140 0.0000
Sm3 0.5000 0.0000 0.0000

[12]
This record from Alexandria describes La4Sm3Sc2 after structural relaxation. The functional is PBE.

Results
Energy relative to the elements, eV per atom: 0.0971
V, Å³/atom: 33.76
Total DFT energy (no corrections), eV per formula unit: -45.656
ρ, Mg/m³: 5.993
M_tot, μB/f.u.: 0.00

abc: 3.6643 6.7115 14.4920
angles: 63.53 90.00 105.84
Positions (direct):
Sc1 0.3382 0.6764 0.2070
Sc2 0.6618 0.3236 0.7930
Sm1 0.3779 0.7558 0.6144
Sm2 0.6221 0.2442 0.3856
Sm3 0.0000 0.0000 0.0000
La1 0.1103 0.2205 0.6148
La2 0.8897 0.7795 0.3852
La3 0.6529 0.3058 0.1272
La4 0.3471 0.6942 0.8728